[1]
Entry from Alexandria via LeMat-Bulk: a geometry-optimized Rb2SiSbI6 structure (PBE-GGA).

a b c (Å): 8.480 8.480 8.482
angles (deg): 60.01 60.01 90.00
Fractional coordinates of all 10 atoms:
I1 0.742 0.742 0.515
I2 0.258 0.258 0.000
I3 0.742 0.742 0.000
I4 0.742 0.258 0.000
I5 0.258 0.742 0.000
I6 0.258 0.258 0.485
Si1 0.500 0.500 0.000
Rb1 0.750 0.250 0.500
Rb2 0.250 0.750 0.500
Sb1 0.000 0.000 0.000

Calculated values
- space-group type = Fm-3m (225)
- magnetization (μB per formula unit) = 0.00
- ΔE_f (raw) (meV/atom) = -647.3


[2]
Entry from Alexandria via LeMat-Bulk: a geometry-optimized Rb2SnSbI6 structure (PBE-GGA).

a b c (Å): 8.777 8.777 8.784
angles (deg): 60.03 60.03 90.00
Fractional coordinates of all 10 atoms:
I1 0.751 0.751 0.000
I2 0.248 0.248 0.503
I3 0.752 0.752 0.497
I4 0.249 0.751 0.000
I5 0.751 0.249 0.000
I6 0.249 0.249 0.000
Rb1 0.250 0.750 0.500
Rb2 0.750 0.250 0.500
Sn1 0.500 0.500 0.000
Sb1 0.000 0.000 0.000

Calculated values
- space-group type = I4/mmm (139)
- magnetization (μB per formula unit) = 0.00
- ΔE_f (raw) (meV/atom) = -758.9


[3]
Entry from Alexandria via LeMat-Bulk: a geometry-optimized RbSn2SbI8 structure (PBE-GGA).

a b c (Å): 7.797 7.424 9.653
angles (deg): 89.79 89.76 88.81
Fractional coordinates of all 12 atoms:
Rb1 0.000 0.000 0.500
I1 0.161 0.748 0.216
I2 0.324 0.237 0.999
I3 0.839 0.252 0.784
I4 0.162 0.749 0.784
I5 0.676 0.763 0.001
I6 0.838 0.251 0.216
I7 0.375 0.274 0.502
I8 0.625 0.726 0.498
Sb1 0.000 0.000 0.000
Sn1 0.500 0.501 0.247
Sn2 0.500 0.499 0.753

Calculated values
- space-group type = P-1 (2)
- magnetization (μB per formula unit) = 0.00
- ΔE_f (raw) (meV/atom) = -561.9